Material: Te2IrOs
Method: DFT, PBE
State: relaxed

As for the final energy: -5.793 eV per atom. The size of the total moment comes out at 0.5 μB/f.u. The polymorph energy (0 for the lowest one) is 2.631 eV/f.u. The value obtained for the volume is 23.83 A^3/atom. Its mass density is 11.1 Mg/m³. As for the space group: R-3m (166).

Lattice parameters (Å, degrees): 8.4858 8.4858 8.4858 24.90 24.90 24.90
With the nearest neighbours (Å) after each atom.
Fractional coordinates of all 4 atoms:
Os  0.5000  0.5000  0.5000  6 Te 2.64
Te  0.8974  0.8974  0.8974  1 Ir 2.53, 3 Os 2.64
Te  0.1026  0.1026  0.1026  1 Ir 2.53, 3 Os 2.64
Ir  0.0000  0.0000  0.0000  2 Te 2.53

***

Material: Te2IrOs
Method: DFT, PBE
State: relaxed

As for the final energy: -5.927 eV per atom. The size of the total moment comes out at 0.0 μB/f.u. The polymorph energy (0 for the lowest one) is 2.095 eV/f.u. The value obtained for the volume is 19.22 A^3/atom. Its mass density is 13.8 Mg/m³. As for the space group: R-3m (166).

Lattice parameters (Å, degrees): 8.2352 8.2352 8.2352 23.32 23.32 23.32
With the nearest neighbours (Å) after each atom.
Fractional coordinates of all 4 atoms:
Te  0.9999  0.9999  0.9999  3 Ir 2.77, 3 Os 2.78
Ir  0.2500  0.2500  0.2500  6 Te 2.77
Os  0.7500  0.7500  0.7500  6 Te 2.78
Te  0.5001  0.5001  0.5001  3 Ir 2.77, 3 Os 2.78

***

Computed E_form (uncorrected) (meV/atom) in order:
800, 666